Record 1
# LaSbTe2Pd (PBE-GGA, relaxed)
data_LaSbTe2Pd
_chemical_formula_sum 'La1 Sb1 Te2 Pd1'
_cell_length_a 5.400
_cell_length_b 5.400
_cell_length_c 5.124
_cell_angle_alpha 90.00
_cell_angle_beta 90.00
_cell_angle_gamma 90.00
_space_group_name_H-M_alt 'P 4/m m m'
_space_group_IT_number 123
_space_group_name_Hall '-P 4 2'
loop_
_atom_site_label
_atom_site_type_symbol
_atom_site_fract_x
_atom_site_fract_y
_atom_site_fract_z
La1 La 0.000 0.000 0.000
Sb1 Sb 0.500 0.500 0.000
Te1 Te 0.000 0.500 0.500
Pd1 Pd 0.500 0.500 0.500
# Energy relative to the elements, uncorrected in eV/atom: -0.5107
# E above lowest polymorph in meV per atom: 0.0
# DOS(E_F) in states/eV/atom: 0.578
# Energy in Ry per atom: -0.339



Record 2
# ReTc2W (PBE-GGA, relaxed)
data_ReTc2W
_chemical_formula_sum 'Re2 Tc4 W2'
_cell_length_a 3.102
_cell_length_b 4.452
_cell_length_c 8.796
_cell_angle_alpha 90.00
_cell_angle_beta 90.00
_cell_angle_gamma 90.00
_space_group_name_H-M_alt 'C m m m'
_space_group_IT_number 65
_space_group_name_Hall '-C 2 2'
loop_
_atom_site_label
_atom_site_type_symbol
_atom_site_fract_x
_atom_site_fract_y
_atom_site_fract_z
Re1 Re 0.000 0.000 0.000
Tc1 Tc 0.000 0.500 0.249
W1 W 0.000 0.000 0.500
# E above lowest polymorph in meV per atom: 80.3
# DOS(E_F) in states/eV/atom: 1.157
# ΔE_f in eV/atom: 0.19
# Energy in Ry per atom: -0.833



Record 3
# ScCuSn2 (PBE-GGA, relaxed)
data_ScCuSn2
_chemical_formula_sum 'Sc4 Cu4 Sn8'
_cell_length_a 6.989
_cell_length_b 6.989
_cell_length_c 6.989
_cell_angle_alpha 90.00
_cell_angle_beta 90.00
_cell_angle_gamma 90.00
_space_group_name_H-M_alt 'F m -3 m'
_space_group_IT_number 225
_space_group_name_Hall '-F 4 2 3'
loop_
_atom_site_label
_atom_site_type_symbol
_atom_site_fract_x
_atom_site_fract_y
_atom_site_fract_z
Sc1 Sc 0.000 0.000 0.000
Cu1 Cu 0.000 0.000 0.500
Sn1 Sn 0.250 0.250 0.250
# DOS(E_F) in states/eV/atom: 0.901
# ΔE_f in eV/atom: -0.06
# Energy in Ry per atom: -0.343



Record 4
# La2SiRuC (PBE-GGA, relaxed)
data_La2SiRuC
_chemical_formula_sum 'La2 Si1 Ru1 C1'
_cell_length_a 5.274
_cell_length_b 5.274
_cell_length_c 3.935
_cell_angle_alpha 90.00
_cell_angle_beta 90.00
_cell_angle_gamma 90.00
_space_group_name_H-M_alt 'P 4/m m m'
_space_group_IT_number 123
_space_group_name_Hall '-P 4 2'
loop_
_atom_site_label
_atom_site_type_symbol
_atom_site_fract_x
_atom_site_fract_y
_atom_site_fract_z
La1 La 0.000 0.500 0.000
Si1 Si 0.000 0.000 0.500
Ru1 Ru 0.500 0.500 0.500
C1 C 0.500 0.500 0.000
# Energy relative to the elements, uncorrected in eV/atom: -0.2710
# DOS(E_F) in states/eV/atom: 0.540
# Energy in Ry per atom: -0.516



Record 5
# Er8Ni2Pd (PBE-GGA, relaxed)
data_Er8Ni2Pd
_chemical_formula_sum 'Er16 Ni4 Pd2'
_cell_length_a 8.222
_cell_length_b 12.517
_cell_length_c 5.708
_cell_angle_alpha 90.00
_cell_angle_beta 107.33
_cell_angle_gamma 90.00
_space_group_name_H-M_alt 'C 1 m 1'
_space_group_IT_number 8
_space_group_name_Hall 'C -2y'
loop_
_atom_site_label
_atom_site_type_symbol
_atom_site_fract_x
_atom_site_fract_y
_atom_site_fract_z
Er1 Er 0.000 0.000 0.000
Er2 Er 0.078 0.370 0.781
Er3 Er 0.161 0.130 0.592
Er4 Er 0.239 0.500 0.365
Er5 Er 0.369 0.224 0.183
Ni1 Ni 0.370 0.305 0.682
Pd1 Pd 0.369 0.000 0.072
# E above lowest polymorph in meV per atom: 84.6
# DOS(E_F) in states/eV/atom: 1.157
# ΔE_f in eV/atom: -0.24
# Energy in Ry per atom: -0.373



Record 6
# CuSnAsO5 (PBE-GGA, relaxed)
data_CuSnAsO5
_chemical_formula_sum 'Cu4 Sn4 As4 O20'
_cell_length_a 7.790
_cell_length_b 8.483
_cell_length_c 7.711
_cell_angle_alpha 90.00
_cell_angle_beta 119.49
_cell_angle_gamma 90.00
_space_group_name_H-M_alt 'C 1 2/c 1'
_space_group_IT_number 15
_space_group_name_Hall '-C 2yc'
loop_
_atom_site_label
_atom_site_type_symbol
_atom_site_fract_x
_atom_site_fract_y
_atom_site_fract_z
Cu1 Cu 0.000 0.196 0.250
Sn1 Sn 0.000 0.500 0.000
As1 As 0.000 0.145 0.750
O1 O 0.000 0.421 0.250
O2 O 0.001 0.254 0.560
O3 O 0.186 0.001 0.845
# Energy relative to the elements, uncorrected in eV/atom: -1.1417
# DOS(E_F) in states/eV/atom: 0.517
# Energy in Ry per atom: -0.429



Record 7
# CeCd4Au5 (PBE-GGA, relaxed)
data_CeCd4Au5
_chemical_formula_sum 'Ce1 Cd4 Au5'
_cell_length_a 3.441
_cell_length_b 3.441
_cell_length_c 17.346
_cell_angle_alpha 90.00
_cell_angle_beta 90.00
_cell_angle_gamma 90.00
_space_group_name_H-M_alt 'P 4/m m m'
_space_group_IT_number 123
_space_group_name_Hall '-P 4 2'
loop_
_atom_site_label
_atom_site_type_symbol
_atom_site_fract_x
_atom_site_fract_y
_atom_site_fract_z
Ce1 Ce 0.000 0.000 0.000
Cd1 Cd 0.000 0.000 0.212
Cd2 Cd 0.000 0.000 0.404
Au1 Au 0.500 0.500 0.114
Au2 Au 0.500 0.500 0.309
Au3 Au 0.500 0.500 0.500
# DOS(E_F) in states/eV/atom: 0.668
# ΔE_f in eV/atom: -0.29
# Energy in Ry per atom: -0.212



Record 8
# Sm2GdRh (PBE-GGA, relaxed)
data_Sm2GdRh
_chemical_formula_sum 'Sm6 Gd3 Rh3'
_cell_length_a 5.2658
_cell_length_b 5.2658
_cell_length_c 12.6417
_cell_angle_alpha 90.00
_cell_angle_beta 90.00
_cell_angle_gamma 120.00
_space_group_name_H-M_alt 'R -3 m'
_space_group_IT_number 166
_space_group_name_Hall '-R 3 2"'
loop_
_atom_site_label
_atom_site_type_symbol
_atom_site_fract_x
_atom_site_fract_y
_atom_site_fract_z
Sm1 Sm 0.0000 0.0000 0.2482
Gd1 Gd 0.0000 0.0000 0.5000
Rh1 Rh 0.0000 0.0000 0.0000
# E above lowest polymorph in meV per atom: 263.4
# DOS(E_F) in states/eV/atom: 1.796
# ΔE_f in eV/atom: -0.06
# Energy in Ry per atom: -0.572



Record 9
# TcAs4Cl (PBE-GGA, relaxed)
data_TcAs4Cl
_chemical_formula_sum 'Tc4 As16 Cl4'
_cell_length_a 7.998
_cell_length_b 7.998
_cell_length_c 7.998
_cell_angle_alpha 90.00
_cell_angle_beta 90.00
_cell_angle_gamma 90.00
_space_group_name_H-M_alt 'F -4 3 m'
_space_group_IT_number 216
_space_group_name_Hall 'F -4 2 3'
loop_
_atom_site_label
_atom_site_type_symbol
_atom_site_fract_x
_atom_site_fract_y
_atom_site_fract_z
Tc1 Tc 0.000 0.000 0.000
As1 As 0.114 0.114 0.614
Cl1 Cl 0.250 0.250 0.250
# Energy relative to the elements, uncorrected in eV/atom: 0.6880
# DOS(E_F) in states/eV/atom: 0.227
# Energy in Ry per atom: -0.327



Record 10
# K3LaSe (PBE-GGA, relaxed)
data_K3LaSe
_chemical_formula_sum 'K3 La1 Se1'
_cell_length_a 6.540
_cell_length_b 6.540
_cell_length_c 6.540
_cell_angle_alpha 90.00
_cell_angle_beta 90.00
_cell_angle_gamma 90.00
_space_group_name_H-M_alt 'P m -3 m'
_space_group_IT_number 221
_space_group_name_Hall '-P 4 2 3'
loop_
_atom_site_label
_atom_site_type_symbol
_atom_site_fract_x
_atom_site_fract_y
_atom_site_fract_z
K1 K 0.000 0.000 0.500
La1 La 0.000 0.000 0.000
Se1 Se 0.500 0.500 0.500
# Energy relative to the elements, uncorrected in eV/atom: 0.8188
# DOS(E_F) in states/eV/atom: 1.335
# Energy in Ry per atom: -0.112



Record 11
# Tb2BiIO8 (PBE-GGA, relaxed)
data_Tb2BiIO8
_chemical_formula_sum 'Tb2 Bi1 I1 O8'
_cell_length_a 5.071
_cell_length_b 6.983
_cell_length_c 5.074
_cell_angle_alpha 90.00
_cell_angle_beta 90.53
_cell_angle_gamma 90.00
_space_group_name_H-M_alt 'P 1 2/m 1'
_space_group_IT_number 10
_space_group_name_Hall '-P 2y'
loop_
_atom_site_label
_atom_site_type_symbol
_atom_site_fract_x
_atom_site_fract_y
_atom_site_fract_z
Tb1 Tb 0.000 0.250 0.000
Bi1 Bi 0.500 0.000 0.500
I1 I 0.500 0.500 0.500
O1 O 0.186 0.000 0.185
O2 O 0.233 0.500 0.232
O3 O 0.318 0.299 0.681
# Energy relative to the elements, uncorrected in eV/atom: -1.8407
# Energy in Ry per atom: -0.468